Entry 1:
This record from the Alexandria database describes PmGeP2Rh5 after structural relaxation. The functional is GGA-PBE.

- E_tot (eV/atom) = -7.09
- ΔE_f (eV/atom) = -0.7612
- crystal system = tetragonal
- calculated density (g/cm3) = 8.3

Structure (extended XYZ):
```
9
Lattice="-1.7239 1.0347 -3.5119 3.3573 -1.1016 -1.9726 -3.5020 -9.0020 -0.9332" Properties=species:S:1:pos:R:3 pbc="T T T"
Ge 0.0000 0.0000 0.0000
Rh -1.4120 -0.8966 -1.9025
Rh -3.8139 -7.0707 -2.5425
Rh -1.2733 -8.1388 -1.7729
Rh -0.9343 -4.5345 -3.2088
Rh 1.1286 -1.9648 -1.1329
Pm -1.7510 -4.5010 -0.4666
P -1.7504 -6.6322 -3.4263
P -0.1182 -2.4367 -2.9914
```

***

Entry 2:
This record from the Alexandria database describes Pm2GePRh6 after structural relaxation. The functional is GGA-PBE.

- E_tot (eV/atom) = -7.03
- ΔE_f (eV/atom) = -0.6642
- crystal system = orthorhombic
- calculated density (g/cm3) = 9.0

Structure (extended XYZ):
```
20
Lattice="5.7116 0.0000 0.0000 0.0000 7.5002 0.0000 0.0000 0.0000 8.6703" Properties=species:S:1:pos:R:3 pbc="T T T"
Rh 4.3677 0.0279 4.3351
Rh 1.5119 7.4723 0.0000
Rh 4.2248 4.1540 0.0000
Rh 1.4868 4.1540 0.0000
Rh 4.1997 7.4723 0.0000
Rh 0.0000 6.6220 2.1695
Rh 4.3425 3.3463 4.3351
Rh 1.3690 3.3463 4.3351
Rh 1.3439 0.0279 4.3351
Rh 2.8558 0.8782 6.5046
Rh 0.0000 6.6220 6.5008
Rh 2.8558 0.8782 2.1657
Ge 0.0000 5.3641 4.3351
Ge 2.8558 2.1361 0.0000
P 2.8558 1.6955 4.3351
P 0.0000 5.8047 0.0000
Pm 0.0000 2.1081 6.7192
Pm 2.8558 5.3922 2.3841
Pm 0.0000 2.1081 1.9510
Pm 2.8558 5.3922 6.2862
```

***

Entry 3:
This record from the Alexandria database describes Pm6Ge2PS3 after structural relaxation. The functional is GGA-PBE.

- ΔE_f (raw) (kJ/mol of atoms) = -154.4
- E_tot (eV/atom) = -6.23
- crystal system = monoclinic
- calculated density (g/cm3) = 6.3

Structure (extended XYZ):
```
12
Lattice="4.1497 0.0000 0.0000 0.0000 8.2753 0.3164 -2.0749 -2.3679 8.7058" Properties=species:S:1:pos:R:3 pbc="T T T"
S 2.0749 -0.2082 5.8699
S 0.0000 6.1156 3.1523
S 2.0749 4.1377 0.1582
P 2.0749 0.0000 0.0000
Ge 2.0748 3.9451 6.0211
Ge 0.0000 1.9624 3.0011
Pm 2.0748 4.0440 3.0724
Pm 0.0000 2.0245 0.0899
Pm 0.0000 1.8635 5.9499
Pm 2.0748 3.8830 8.9323
Pm 2.0749 -0.1001 2.8971
Pm 0.0000 6.0076 6.1251
```

***

Entry 4:
This record from the Alexandria database describes Pm8Ge3PS4 after structural relaxation. The functional is GGA-PBE.

- ΔE_f (raw) (kJ/mol of atoms) = -151.1
- E_tot (eV/atom) = -6.18
- crystal system = trigonal
- calculated density (g/cm3) = 6.3

Structure (extended XYZ):
```
16
Lattice="8.3063 0.0000 -0.0001 0.0000 8.2954 -0.0136 -4.1532 -4.1489 5.8762" Properties=species:S:1:pos:R:3 pbc="T T T"
S 4.1531 0.0000 0.0000
S 0.0000 0.0000 0.0000
S 2.0765 -2.0745 2.9381
S -2.0766 -2.0745 2.9381
P 0.0000 4.1477 -0.0068
Pm 4.1531 0.0040 2.9583
Pm -2.0912 2.0532 5.8629
Pm 2.0619 2.0933 -0.0004
Pm 2.0912 2.0532 5.8629
Pm 6.2443 2.0933 -0.0004
Pm 4.1531 4.1589 2.9366
Pm 0.0000 4.1425 2.9042
Pm 0.0000 -0.0124 2.9259
Ge 4.1531 4.1477 -0.0068
Ge 2.0766 2.0732 2.9312
Ge -2.0766 2.0732 2.9313
```

***

The total magnetization results, record by record, are as follows: 0.0; 0.0; 0.0; 0.0 μB per cell.